DFT (PBE) results for a relaxed structure of B2C.

Results
- Space-group type: P3m1 (156)
- E_form: 0.391 eV/atom

abc: 2.6942 2.6942 3.1777
angles: 90.00 90.00 120.00
Fractional positions:
1 C 0.6667 0.3333 0.8924
2 B 0.0000 0.0000 0.0730
3 B 0.6667 0.3333 0.3881